The following is a DFT calculation (PBE) of a relaxed structure of RbPm2Br8.

Properties
M_tot	0.2	μB/f.u.
space-group type	C2/m, No. 12
energy relative to the elements, uncorrected	-1.669	eV/atom
relative energy among the computed polymorphs	0	meV per atom
calculated density	4.45	Mg/m³
raw total energy	-3.8370	eV/atom

Lattice parameters (Å, degrees): 5.7101 8.5836 8.5836 115.86 90.04 90.04
Closest atoms and distances in Å follow each position.
Atoms (fractional coordinates):
Br1 0.9991 0.9438 0.6739  2 Pm 2.95-3.01
Br2 0.5000 0.7401 0.2599  2 Pm 2.93
Br3 0.2519 0.5004 0.5004  2 Br 2.83-2.88
Br4 0.5000 0.2599 0.7401  2 Pm 2.93
Br5 0.9991 0.6739 0.9438  2 Pm 2.95-3.01
Br6 0.7481 0.4996 0.4996  2 Br 2.83-2.88
Br7 0.0009 0.3261 0.0562  2 Pm 2.95-3.01
Br8 0.0009 0.0562 0.3261  2 Pm 2.95-3.01
Pm1 0.0000 0.3040 0.6960  8 Br 2.93-3.19
Pm2 0.0000 0.6960 0.3040  8 Br 2.93-3.19
Rb1 0.5000 0.0000 0.0000  10 Br 3.78-3.88

=====

The following is a DFT calculation (PBE) of a relaxed structure of RbSnO3.

Properties
M_tot	0.0	μB/f.u.
space-group type	Pm-3m, No. 221
energy relative to the elements, uncorrected	0.603	eV/atom
calculated density	5.19	Mg/m³
raw total energy	-3.3661	eV/atom

Lattice parameters (Å, degrees): 4.3208 4.3208 4.3208 90.00 90.00 90.00
Closest atoms and distances in Å follow each position.
Atoms (fractional coordinates):
Sn1 0.5000 0.5000 0.5000  12 O 3.06
O1 0.5000 0.0000 0.0000  2 Rb 2.16
O2 0.0000 0.5000 0.0000  2 Rb 2.16
O3 0.0000 0.0000 0.5000  2 Rb 2.16
Rb1 0.0000 0.0000 0.0000  6 O 2.16

=====

The following is a DFT calculation (PBE) of a relaxed structure of KTlIn4.

Properties
M_tot	0.0	μB/f.u.
space-group type	F-43m, No. 216
energy relative to the elements	-4.8	kJ/mol of atoms
relative energy among the computed polymorphs	0	meV per atom
calculated density	6.34	Mg/m³
raw total energy	-2.4526	eV/atom

Lattice parameters (Å, degrees): 6.3853 6.3853 6.3853 60.00 60.00 60.00
Closest atoms and distances in Å follow each position.
Atoms (fractional coordinates):
Tl1 0.0000 0.0000 0.0000  12 In 3.74, 4 K 3.91
In1 0.1246 0.6251 0.6251  6 In 3.19-3.20
In2 0.6251 0.6251 0.6251  6 In 3.19-3.20
In3 0.6251 0.6251 0.1246  6 In 3.19-3.20
In4 0.6251 0.1246 0.6251  6 In 3.19-3.20
K1 0.2500 0.2500 0.2500  12 In 3.74, 4 Tl 3.91

=====

The following is a DFT calculation (PBE) of a relaxed structure of Li4SiTe5.

Properties
M_tot	0.0	μB/f.u.
space-group type	I4, No. 79
energy relative to the elements, uncorrected	-0.464	eV/atom
calculated density	4.67	Mg/m³
raw total energy	-3.3429	eV/atom

Lattice parameters (Å, degrees): 5.9804 7.0833 7.0833 79.73 65.03 65.03
Closest atoms and distances in Å follow each position.
Atoms (fractional coordinates):
Li1 0.6016 0.6032 0.1875  5 Te 2.82-3.04
Li2 0.3922 0.3968 0.8125  5 Te 2.82-3.04
Li3 0.2048 0.1875 0.3968  5 Te 2.82-3.04
Li4 0.7890 0.8125 0.6032  5 Te 2.82-3.04
Si1 0.0697 0.0000 0.0000  5 Te 2.53-2.69
Te1 0.4935 0.0000 0.0000  1 Si 2.53, 4 Li 2.82
Te2 0.7104 0.1979 0.3611  1 Si 2.69, 3 Li 2.83-2.96
Te3 0.2694 0.8021 0.6389  1 Si 2.69, 3 Li 2.83-2.96
Te4 0.0715 0.6389 0.1979  1 Si 2.69, 3 Li 2.83-2.96
Te5 0.9083 0.3611 0.8021  1 Si 2.69, 3 Li 2.83-2.96

=====

The following is a DFT calculation (PBE) of a relaxed structure of RbLi2Pb.

Properties
M_tot	0.6	μB/f.u.
space-group type	R-3m, No. 166
energy relative to the elements	-15.3	kJ/mol of atoms
calculated density	3.75	Mg/m³
raw total energy	-2.2841	eV/atom

Lattice parameters (Å, degrees): 4.9487 4.9487 7.0034 69.31 69.31 60.00
Closest atoms and distances in Å follow each position.
Atoms (fractional coordinates):
Li1 0.3150 0.3150 0.0551  3 Pb 2.88, 3 Li 2.94
Li2 0.6850 0.6850 0.9449  3 Pb 2.88, 3 Li 2.94
Rb1 0.5000 0.5000 0.5000  2 Li 3.55
Pb1 0.0000 0.0000 0.0000  6 Li 2.88

=====

The following is a DFT calculation (PBE) of a relaxed structure of LaFeNi3.

Properties
M_tot	3.7	μB/f.u.
space-group type	Pm-3m, No. 221
energy relative to the elements	20.0	kJ/mol of atoms
relative energy among the computed polymorphs	0	meV per atom
calculated density	7.01	Mg/m³
raw total energy	-5.9393	eV/atom

Lattice parameters (Å, degrees): 4.4455 4.4455 4.4455 90.00 90.00 90.00
Closest atoms and distances in Å follow each position.
Atoms (fractional coordinates):
Ni1 0.0000 0.5000 0.0000  2 Fe 2.22
Ni2 0.0000 0.0000 0.5000  2 Fe 2.22
Ni3 0.5000 0.0000 0.0000  2 Fe 2.22
Fe1 0.0000 0.0000 0.0000  6 Ni 2.22
La1 0.5000 0.5000 0.5000  12 Ni 3.14

=====

The following is a DFT calculation (PBE) of a relaxed structure of AgAsPdAu.

Properties
M_tot	0.0	μB/f.u.
space-group type	F-43m, No. 216
energy relative to the elements	-0.9	kJ/mol of atoms
calculated density	11.62	Mg/m³
raw total energy	-4.0024	eV/atom

Lattice parameters (Å, degrees): 4.6139 4.6139 4.6139 60.00 60.00 60.00
Closest atoms and distances in Å follow each position.
Atoms (fractional coordinates):
Au1 0.5000 0.5000 0.5000  4 Ag 2.83, 4 As 2.83
Pd1 0.0000 0.0000 0.0000  4 As 2.83, 4 Ag 2.83
As1 0.7500 0.7500 0.7500  4 Pd 2.83, 4 Au 2.83
Ag1 0.2500 0.2500 0.2500  4 Pd 2.83, 4 Au 2.83

=====

The following is a DFT calculation (PBE) of a relaxed structure of BaAl2Sb.

Properties
M_tot	0.0	μB/f.u.
space-group type	Immm, No. 71
energy relative to the elements, uncorrected	-0.046	eV/atom
calculated density	4.30	Mg/m³
raw total energy	-3.4284	eV/atom

Lattice parameters (Å, degrees): 6.2665 6.2665 6.2665 143.10 123.79 69.15
Closest atoms and distances in Å follow each position.
Atoms (fractional coordinates):
Sb1 0.2500 0.7500 0.5000  4 Al 2.91
Ba1 0.7500 0.2500 0.5000  4 Sb 3.56, 8 Al 3.62-3.64, 2 Ba 3.97
Al1 0.0436 0.0436 0.0000  2 Sb 2.91
Al2 0.4564 0.4564 0.0000  2 Sb 2.91

=====

- Which value of calculated density does entry 8 give?
  4.30 Mg/m³